## Sc3PtC (PBEsol)

Data for an optimized crystal structure of Sc3PtC.

As for the crystal system: cubic. The formation energy comes out at -337.6 kJ/mol of formula units. Its density of states at the Fermi level is 5.4 states/eV per cell.

It has space group Pm-3m (No. 221), with a = 4.394 Å, b = 4.394 Å, c = 4.394 Å, α = 90.00°, β = 90.00° and γ = 90.00°. Symmetry generates all atoms from Sc at (0.000, 0.000, 0.500), Pt at (0.500, 0.500, 0.500) and C at (0.000, 0.000, 0.000).

***

## YNi2Te (PBEsol)

Data for an optimized crystal structure of YNi2Te.

For the formation energy without anion corrections, the calculation gives -233 meV per atom. As for the crystal system: tetragonal. Its density of states at the Fermi level is 7.2 states/eV per cell.

It has space group I-4m2 (No. 119), with a = 3.903 Å, b = 3.903 Å, c = 9.136 Å, α = 90.00°, β = 90.00° and γ = 90.00°. Symmetry generates all atoms from Y at (0.000, 0.000, 0.000), Ni at (0.000, 0.000, 0.500), Ni at (0.000, 0.500, 0.250) and Te at (0.000, 0.500, 0.750).

***

Which formula does entry 2 have?
YNi2Te